(1)
Here is a relaxed Re2TcAg crystal from Alexandria. Energies are from PBE.

Cell: 2.913 4.535 9.545 Å, 90.00 90.00 90.00°
Space group Cmm2 (No. 35)
Unique sites:
Re  0.000  0.000  0.000
Re  0.000  0.500  0.235
Tc  0.000  0.500  0.767
Ag  0.000  0.000  0.502

Results
calculated total energy = -9.105 eV per atom
E_form = 0.42 eV/atom

=====

(2)
Here is a relaxed La2DyHo2Cd5 crystal from Alexandria. Energies are from PBE.

Cell: 10.726 10.726 4.779 Å, 90.00 90.00 90.00°
Space group P4/mbm (No. 127)
Unique sites:
La  0.176  0.324  0.000
Dy  0.000  0.000  0.000
Ho  0.123  0.623  0.000
Cd  0.000  0.500  0.500
Cd  0.067  0.805  0.500

Results
calculated total energy = -3.029 eV per atom
E_form = -0.21 eV/atom

=====

(3)
Here is a relaxed Pr2InAg crystal from Alexandria. Energies are from PBE.

Cell: 3.753 3.753 8.069 Å, 90.00 90.00 90.00°
Space group P4/mmm (No. 123)
Unique sites:
Pr  0.000  0.000  0.240
In  0.500  0.500  0.500
Ag  0.500  0.500  0.000

Results
calculated total energy = -4.155 eV per atom
E_form = -0.37 eV/atom

=====

(4)
Here is a relaxed HfTa2Cl crystal from Alexandria. Energies are from PBE.

Cell: 6.725 6.725 6.725 Å, 90.00 90.00 90.00°
Space group Fm-3m (No. 225)
Unique sites:
Hf  0.000  0.000  0.000
Ta  0.250  0.250  0.250
Cl  0.000  0.000  0.500

Results
calculated total energy = -7.982 eV per atom
formation energy from raw total energies = 0.894 eV/atom

=====

(5)
Here is a relaxed Th4RuPb2 crystal from Alexandria. Energies are from PBE.

Cell: 6.380 6.743 9.902 Å, 90.00 100.59 90.00°
Space group P2_1/m (No. 11)
Unique sites:
Th  0.179  0.250  0.095
Th  0.252  0.515  0.737
Th  0.296  0.750  0.402
Ru  0.009  0.750  0.172
Pb  0.192  0.250  0.436
Pb  0.367  0.750  0.045

Results
calculated total energy = -6.881 eV per atom
E_form = -0.26 eV/atom

=====

(6)
Here is a relaxed AcDy6Y5 crystal from Alexandria. Energies are from PBE.

Cell: 6.220 10.772 11.917 Å, 90.00 100.02 90.00°
Space group C2/m (No. 12)
Unique sites:
Ac  0.000  0.000  0.000
Dy  0.248  0.332  0.746
Dy  0.249  0.500  0.254
Y  0.000  0.167  0.500
Y  0.000  0.333  0.000
Y  0.000  0.500  0.500

Results
calculated total energy = -5.304 eV per atom
E_form = 0.03 eV/atom